1.
DFT (GGA-PBE) results for crystalline Cs2ErNp3O12 at its relaxed geometry.

Formation energy without anion corrections: -2.7779 eV per atom
Total magnetic moment: 2.00 μB per formula unit

a b c (Å): 7.7873 7.7873 7.7873
angles (deg): 61.69 61.69 61.69
Last column: nearest neighbours and their distance in Å.
Atoms (fractional coordinates):
Cs1 0.1219 0.1219 0.1219  6 O 3.45
Cs2 0.8781 0.8781 0.8781  6 O 3.45
Er1 0.5000 0.5000 0.5000  6 O 2.24
Np1 0.0000 0.5000 0.5000  6 O 1.94-2.11
Np2 0.5000 0.0000 0.5000  6 O 1.94-2.11
Np3 0.5000 0.5000 0.0000  6 O 1.94-2.11
O1 0.1645 0.5686 0.5686  1 Np 1.94
O2 0.1878 0.1878 0.5692  2 Np 2.11
O3 0.1878 0.5692 0.1878  2 Np 2.11
O4 0.4314 0.4314 0.8355  1 Np 1.94
O5 0.4308 0.8122 0.8122  2 Np 2.11
O6 0.4314 0.8355 0.4314  1 Np 1.94
O7 0.5686 0.1645 0.5686  1 Np 1.94
O8 0.5692 0.1878 0.1878  2 Np 2.11
O9 0.5686 0.5686 0.1645  1 Np 1.94
O10 0.8122 0.4308 0.8122  2 Np 2.11
O11 0.8122 0.8122 0.4308  2 Np 2.11
O12 0.8355 0.4314 0.4314  1 Np 1.94

---

2.
DFT (GGA-PBE) results for crystalline SrLi2PrAu2 at its relaxed geometry.

Formation enthalpy at 0 K: -0.524 eV/atom
Total magnetic moment: 0.00 μB per formula unit

a b c (Å): 4.6026 4.6026 8.1007
angles (deg): 90.00 90.00 120.00
Last column: nearest neighbours and their distance in Å.
Atoms (fractional coordinates):
Sr1 0.0000 0.0000 0.0000  6 Li 3.41, 6 Au 3.47
Li1 0.3333 0.6667 0.2644  3 Au 2.66
Li2 0.6667 0.3333 0.7356  3 Au 2.66
Pr1 0.0000 0.0000 0.5000  6 Au 3.22, 6 Li 3.27
Au1 0.3333 0.6667 0.7252  3 Li 2.66
Au2 0.6667 0.3333 0.2748  3 Li 2.66

---

3.
DFT (GGA-PBE) results for crystalline NiIr2Ru at its relaxed geometry.

Formation enthalpy at 0 K: 0.112 eV/atom
Total magnetic moment: 1.46 μB per formula unit
Polymorph energy (0 for the lowest one): 123 meV per atom

a b c (Å): 3.8061 3.8061 3.7759
angles (deg): 90.00 90.00 90.00
Last column: nearest neighbours and their distance in Å.
Atoms (fractional coordinates):
Ni1 0.0000 0.0000 0.0000  8 Ir 2.68, 4 Ru 2.69
Ir1 0.0000 0.5000 0.5000  4 Ru 2.68, 4 Ni 2.68, 4 Ir 2.69
Ir2 0.5000 0.0000 0.5000  4 Ru 2.68, 4 Ni 2.68, 4 Ir 2.69
Ru1 0.5000 0.5000 0.0000  8 Ir 2.68, 4 Ni 2.69